No. 1
In2IrCl after structural relaxation. Source: the Alexandria database, functional PBE.

- excess energy over the best structure of this formula in the dataset (meV/atom) = 524

```
data_In2IrCl
_cell_length_a 3.4454
_cell_length_b 3.4454
_cell_length_c 25.5549
_cell_angle_alpha 90.00
_cell_angle_beta 90.00
_cell_angle_gamma 120.00
_space_group_name_H-M_alt 'R 3 m'
_space_group_IT_number 160
_space_group_name_Hall 'R 3 -2"'
loop_
_atom_site_label
_atom_site_fract_x
_atom_site_fract_y
_atom_site_fract_z
_atom_site_occupancy
In1 0.0000 0.0000 0.0000 1
In2 0.0000 0.0000 0.2359 1
Ir1 0.0000 0.0000 0.7352 1
Cl1 0.0000 0.0000 0.4872 1
```


No. 2
In2IrCl after structural relaxation. Source: the Alexandria database, functional PBE.

- excess energy over the best structure of this formula in the dataset (meV/atom) = 587

```
data_In2IrCl
_cell_length_a 3.350
_cell_length_b 4.358
_cell_length_c 6.678
_cell_angle_alpha 90.00
_cell_angle_beta 90.00
_cell_angle_gamma 90.00
_space_group_name_H-M_alt 'P m m m'
_space_group_IT_number 47
_space_group_name_Hall '-P 2 2'
loop_
_atom_site_label
_atom_site_fract_x
_atom_site_fract_y
_atom_site_fract_z
_atom_site_occupancy
In1 0.000 0.000 0.000 1
In2 0.500 0.000 0.500 1
Ir1 0.000 0.500 0.500 1
Cl1 0.500 0.500 0.000 1
```


No. 3
InIrCl2 after structural relaxation. Source: the Alexandria database, functional PBE.

- excess energy over the best structure of this formula in the dataset (meV/atom) = 95

```
data_InIrCl2
_cell_length_a 5.525
_cell_length_b 11.539
_cell_length_c 3.541
_cell_angle_alpha 90.00
_cell_angle_beta 90.00
_cell_angle_gamma 90.00
_space_group_name_H-M_alt 'C m m m'
_space_group_IT_number 65
_space_group_name_Hall '-C 2 2'
loop_
_atom_site_label
_atom_site_fract_x
_atom_site_fract_y
_atom_site_fract_z
_atom_site_occupancy
In1 0.000 0.000 0.000 1
Ir1 0.000 0.500 0.000 1
Cl1 0.000 0.363 0.500 1
```


No. 4
InIrCl2 after structural relaxation. Source: the Alexandria database, functional PBE.

- excess energy over the best structure of this formula in the dataset (meV/atom) = 854

```
data_InIrCl2
_cell_length_a 3.231
_cell_length_b 3.231
_cell_length_c 8.144
_cell_angle_alpha 90.00
_cell_angle_beta 90.00
_cell_angle_gamma 90.00
_space_group_name_H-M_alt 'P 4/m m m'
_space_group_IT_number 123
_space_group_name_Hall '-P 4 2'
loop_
_atom_site_label
_atom_site_fract_x
_atom_site_fract_y
_atom_site_fract_z
_atom_site_occupancy
In1 0.000 0.000 0.000 1
Ir1 0.000 0.000 0.500 1
Cl1 0.500 0.500 0.304 1
```


No. 5
In2IrCl after structural relaxation. Source: the Alexandria database, functional PBE.

- excess energy over the best structure of this formula in the dataset (meV/atom) = 697

```
data_In2IrCl
_cell_length_a 6.911
_cell_length_b 6.911
_cell_length_c 6.911
_cell_angle_alpha 90.00
_cell_angle_beta 90.00
_cell_angle_gamma 90.00
_space_group_name_H-M_alt 'F -4 3 m'
_space_group_IT_number 216
_space_group_name_Hall 'F -4 2 3'
loop_
_atom_site_label
_atom_site_fract_x
_atom_site_fract_y
_atom_site_fract_z
_atom_site_occupancy
In1 0.000 0.000 0.000 1
In2 0.250 0.250 0.250 1
Ir1 0.250 0.250 0.750 1
Cl1 0.000 0.000 0.500 1
```


No. 6
InIrCl2 after structural relaxation. Source: the Alexandria database, functional PBE.

- excess energy over the best structure of this formula in the dataset (meV/atom) = 861

```
data_InIrCl2
_cell_length_a 6.757
_cell_length_b 6.757
_cell_length_c 6.757
_cell_angle_alpha 90.00
_cell_angle_beta 90.00
_cell_angle_gamma 90.00
_space_group_name_H-M_alt 'F -4 3 m'
_space_group_IT_number 216
_space_group_name_Hall 'F -4 2 3'
loop_
_atom_site_label
_atom_site_fract_x
_atom_site_fract_y
_atom_site_fract_z
_atom_site_occupancy
In1 0.000 0.000 0.000 1
Ir1 0.250 0.250 0.250 1
Cl1 0.000 0.000 0.500 1
Cl2 0.250 0.250 0.750 1
```


No. 7
In2IrCl after structural relaxation. Source: the Alexandria database, functional PBE.

- excess energy over the best structure of this formula in the dataset (meV/atom) = 138

```
data_In2IrCl
_cell_length_a 3.247
_cell_length_b 4.669
_cell_length_c 5.597
_cell_angle_alpha 90.00
_cell_angle_beta 90.00
_cell_angle_gamma 90.00
_space_group_name_H-M_alt 'P m m m'
_space_group_IT_number 47
_space_group_name_Hall '-P 2 2'
loop_
_atom_site_label
_atom_site_fract_x
_atom_site_fract_y
_atom_site_fract_z
_atom_site_occupancy
In1 0.000 0.000 0.000 1
In2 0.500 0.500 0.500 1
Ir1 0.000 0.000 0.500 1
Cl1 0.500 0.500 0.000 1
```


No. 8
InIrCl2 after structural relaxation. Source: the Alexandria database, functional PBE.

- excess energy over the best structure of this formula in the dataset (meV/atom) = 543

```
data_InIrCl2
_cell_length_a 3.6337
_cell_length_b 3.6337
_cell_length_c 27.1085
_cell_angle_alpha 90.00
_cell_angle_beta 90.00
_cell_angle_gamma 120.00
_space_group_name_H-M_alt 'R -3 m'
_space_group_IT_number 166
_space_group_name_Hall '-R 3 2"'
loop_
_atom_site_label
_atom_site_fract_x
_atom_site_fract_y
_atom_site_fract_z
_atom_site_occupancy
In1 0.0000 0.0000 0.0000 1
Ir1 0.0000 0.0000 0.5000 1
Cl1 0.0000 0.0000 0.1181 1
```


Let's list total magnetization in order: 0.00 0.43 0.00 2.10 0.00 2.30 0.00 3.71 μB per cell.
Let's list uncorrected formation energy in order: 0.2439 0.3069 -0.1999 0.5591 0.4174 0.5658 -0.1423 0.2478 eV/atom.
Let's list calculated total energy in order: -3.802 -3.739 -4.023 -3.264 -3.629 -3.257 -4.188 -3.575 eV per atom.